A relaxed structure of Tm6Cu2N, computed with PBE-GGA.

Cell and atoms, written as extended XYZ:
```
18
Lattice="-3.3502 -4.7136 2.6491 2.6611 -4.3596 -4.3917 6.9905 -1.7774 6.0002" Properties=species:S:1:pos:R:3 pbc="T T T"
Tm 1.8058 -4.5367 0.1684
Cu 3.8702 -3.8365 5.3933
N 3.4953 -0.8887 3.0001
Tm 2.2614 -7.6870 1.7109
Tm 4.8209 -9.7398 2.5211
Tm -1.3667 -4.2445 1.2612
Tm -0.4248 -6.8942 -0.5994
Cu -0.3612 -6.8428 2.1682
Tm 5.0356 -5.9014 0.5973
Tm 4.4957 -6.3139 4.0892
Tm 1.4806 -1.1108 1.7365
Tm 7.6681 -6.6061 2.9964
Tm 1.2658 -4.9493 3.6602
Tm 4.0400 -3.1636 2.5466
Tm 6.7263 -3.9564 4.8570
Cu 2.4313 -7.0141 -1.1357
N -0.3445 -4.5366 -0.8713
Cu 6.6627 -4.0078 2.0894
```

Calculated values
DFT total energy = -5.321 eV/atom
Raw formation energy = -505 meV/atom

A relaxed structure of Er4Ni3Pd, computed with PBE-GGA.

Cell and atoms, written as extended XYZ:
```
8
Lattice="-0.8985 3.4274 -0.8719 -1.3591 0.6751 4.0544 9.3022 3.1005 2.6020" Properties=species:S:1:pos:R:3 pbc="T T T"
Er 2.2989 3.1937 2.5501
Ni 8.0805 4.5567 1.9501
Er 5.4829 3.6909 1.2234
Er 1.3167 0.4389 0.3683
Pd -0.3835 2.2997 1.7998
Ni 4.6625 2.1181 3.5215
Er 7.2644 2.9853 4.2493
Ni 3.9709 1.3236 1.1108
```

Calculated values
DFT total energy = -5.688 eV/atom

A relaxed structure of Na3Ac2Pb5, computed with PBE-GGA.

Cell and atoms, written as extended XYZ:
```
20
Lattice="-5.4609 -1.6709 3.7569 -1.4302 -10.4053 -0.4878 3.2462 -4.4048 8.9785" Properties=species:S:1:pos:R:3 pbc="T T T"
Na -3.2971 -6.7395 4.6478
Ac -1.0554 -7.2493 1.4607
Pb -1.0034 -12.6021 8.4839
Na -0.3478 -9.7415 7.5997
Pb 1.6542 -4.1981 6.7564
Ac -2.5895 -9.2317 10.7869
Pb 0.3803 -7.6634 9.5823
Pb -5.2991 -12.2829 5.4912
Pb -0.4572 -7.8228 5.1846
Ac -2.0537 -11.2123 4.4659
Pb -4.0252 -8.8175 2.6652
Pb -2.6415 -3.8789 3.7636
Ac -1.5912 -5.2687 7.7816
Na -1.3652 -0.4177 0.9392
Pb 0.0890 -3.0434 1.8852
Na -3.8304 -11.5421 7.9555
Na 0.1855 -4.9388 4.2920
Na -4.0957 -1.2532 2.8176
Pb -3.7339 -13.4376 10.3623
Pb -3.1877 -8.6582 7.0630
```

Calculated values
DFT total energy = -3.270 eV/atom

Please write out number 2 again, unchanged.
A relaxed structure of Er4Ni3Pd, computed with PBE-GGA.

Cell and atoms, written as extended XYZ:
```
8
Lattice="-0.8985 3.4274 -0.8719 -1.3591 0.6751 4.0544 9.3022 3.1005 2.6020" Properties=species:S:1:pos:R:3 pbc="T T T"
Er 2.2989 3.1937 2.5501
Ni 8.0805 4.5567 1.9501
Er 5.4829 3.6909 1.2234
Er 1.3167 0.4389 0.3683
Pd -0.3835 2.2997 1.7998
Ni 4.6625 2.1181 3.5215
Er 7.2644 2.9853 4.2493
Ni 3.9709 1.3236 1.1108
```

Calculated values
DFT total energy = -5.688 eV/atom

Question: Among the records above, which one has the lowest DFT total energy?
Answer: Er4Ni3Pd

Question: Among the records above, which one has the lowest DFT total energy?
Answer: Er4Ni3Pd

Copy entry 1 word for word.
A relaxed structure of Tm6Cu2N, computed with PBE-GGA.

Cell and atoms, written as extended XYZ:
```
18
Lattice="-3.3502 -4.7136 2.6491 2.6611 -4.3596 -4.3917 6.9905 -1.7774 6.0002" Properties=species:S:1:pos:R:3 pbc="T T T"
Tm 1.8058 -4.5367 0.1684
Cu 3.8702 -3.8365 5.3933
N 3.4953 -0.8887 3.0001
Tm 2.2614 -7.6870 1.7109
Tm 4.8209 -9.7398 2.5211
Tm -1.3667 -4.2445 1.2612
Tm -0.4248 -6.8942 -0.5994
Cu -0.3612 -6.8428 2.1682
Tm 5.0356 -5.9014 0.5973
Tm 4.4957 -6.3139 4.0892
Tm 1.4806 -1.1108 1.7365
Tm 7.6681 -6.6061 2.9964
Tm 1.2658 -4.9493 3.6602
Tm 4.0400 -3.1636 2.5466
Tm 6.7263 -3.9564 4.8570
Cu 2.4313 -7.0141 -1.1357
N -0.3445 -4.5366 -0.8713
Cu 6.6627 -4.0078 2.0894
```

Calculated values
DFT total energy = -5.321 eV/atom
Raw formation energy = -505 meV/atom